# 1
# PBE SrLi2CdNi, relaxed
data_SrLi2CdNi
_chemical_formula_sum 'Sr1 Li2 Cd1 Ni1'
_symmetry_space_group_name_H-M 'P 4/m m m'
_symmetry_Int_Tables_number 123
_symmetry_space_group_name_Hall '-P 4 2'
_cell_length_a 4.841
_cell_length_b 4.841
_cell_length_c 5.051
_cell_angle_alpha 90.00
_cell_angle_beta 90.00
_cell_angle_gamma 90.00
loop_
_atom_site_label
_atom_site_type_symbol
_atom_site_fract_x
_atom_site_fract_y
_atom_site_fract_z
Sr1 Sr 0.000 0.000 0.000
Li1 Li 0.000 0.500 0.500
Cd1 Cd 0.500 0.500 0.000
Ni1 Ni 0.500 0.500 0.500
# * formation energy from the elements: 0.0024 eV/atom

=====

# 2
# PBE LiThCdNi, relaxed
data_LiThCdNi
_chemical_formula_sum 'Li4 Th4 Cd4 Ni4'
_symmetry_space_group_name_H-M 'F -4 3 m'
_symmetry_Int_Tables_number 216
_symmetry_space_group_name_Hall 'F -4 2 3'
_cell_length_a 6.759
_cell_length_b 6.759
_cell_length_c 6.759
_cell_angle_alpha 90.00
_cell_angle_beta 90.00
_cell_angle_gamma 90.00
loop_
_atom_site_label
_atom_site_type_symbol
_atom_site_fract_x
_atom_site_fract_y
_atom_site_fract_z
Li1 Li 0.000 0.000 0.000
Th1 Th 0.250 0.250 0.750
Cd1 Cd 0.250 0.250 0.250
Ni1 Ni 0.000 0.000 0.500
# * formation energy from the elements: -0.1470 eV/atom

=====

# 3
# PBE Li2VCdNi, relaxed
data_Li2VCdNi
_chemical_formula_sum 'Li2 V1 Cd1 Ni1'
_symmetry_space_group_name_H-M 'P 4/m m m'
_symmetry_Int_Tables_number 123
_symmetry_space_group_name_Hall '-P 4 2'
_cell_length_a 4.496
_cell_length_b 4.496
_cell_length_c 4.414
_cell_angle_alpha 90.00
_cell_angle_beta 90.00
_cell_angle_gamma 90.00
loop_
_atom_site_label
_atom_site_type_symbol
_atom_site_fract_x
_atom_site_fract_y
_atom_site_fract_z
Li1 Li 0.000 0.500 0.000
V1 V 0.000 0.000 0.500
Cd1 Cd 0.500 0.500 0.500
Ni1 Ni 0.000 0.000 0.000
# * formation energy from the elements: 0.4360 eV/atom

=====

# 4
# PBE LiYCdNi, relaxed
data_LiYCdNi
_chemical_formula_sum 'Li4 Y4 Cd4 Ni4'
_symmetry_space_group_name_H-M 'F -4 3 m'
_symmetry_Int_Tables_number 216
_symmetry_space_group_name_Hall 'F -4 2 3'
_cell_length_a 6.660
_cell_length_b 6.660
_cell_length_c 6.660
_cell_angle_alpha 90.00
_cell_angle_beta 90.00
_cell_angle_gamma 90.00
loop_
_atom_site_label
_atom_site_type_symbol
_atom_site_fract_x
_atom_site_fract_y
_atom_site_fract_z
Li1 Li 0.000 0.000 0.000
Y1 Y 0.250 0.250 0.750
Cd1 Cd 0.250 0.250 0.250
Ni1 Ni 0.000 0.000 0.500
# * formation energy from the elements: -0.2001 eV/atom

=====

# 5
# PBE LiNpCdO4, relaxed
data_LiNpCdO4
_chemical_formula_sum 'Li4 Np4 Cd4 O16'
_symmetry_space_group_name_H-M 'I m m a'
_symmetry_Int_Tables_number 74
_symmetry_space_group_name_Hall '-I 2b 2'
_cell_length_a 6.662
_cell_length_b 7.057
_cell_length_c 8.351
_cell_angle_alpha 90.00
_cell_angle_beta 90.00
_cell_angle_gamma 90.00
loop_
_atom_site_label
_atom_site_type_symbol
_atom_site_fract_x
_atom_site_fract_y
_atom_site_fract_z
Li1 Li 0.250 0.250 0.250
Np1 Np 0.000 0.000 0.000
Cd1 Cd 0.000 0.250 0.620
O1 O 0.000 0.022 0.238
O2 O 0.210 0.250 0.003
# * formation energy without anion corrections: -2.21 eV/atom

=====

# 6
# PBE LiNpCdO6, relaxed
data_LiNpCdO6
_chemical_formula_sum 'Li2 Np2 Cd2 O12'
_symmetry_space_group_name_H-M 'P -3 1 c'
_symmetry_Int_Tables_number 163
_symmetry_space_group_name_Hall '-P 3 2c'
_cell_length_a 5.3457
_cell_length_b 5.3457
_cell_length_c 9.5026
_cell_angle_alpha 90.00
_cell_angle_beta 90.00
_cell_angle_gamma 120.00
loop_
_atom_site_label
_atom_site_type_symbol
_atom_site_fract_x
_atom_site_fract_y
_atom_site_fract_z
Li1 Li 0.3333 0.6667 0.2500
Np1 Np 0.3333 0.6667 0.7500
Cd1 Cd 0.0000 0.0000 0.0000
O1 O 0.0208 0.3607 0.6375
# * formation energy without anion corrections: -1.64 eV/atom

=====

# 7
# PBE Li2NpCdS4, relaxed
data_Li2NpCdS4
_chemical_formula_sum 'Li2 Np1 Cd1 S4'
_symmetry_space_group_name_H-M 'P 1 2/m 1'
_symmetry_Int_Tables_number 10
_symmetry_space_group_name_Hall '-P 2y'
_cell_length_a 6.563
_cell_length_b 3.898
_cell_length_c 6.598
_cell_angle_alpha 90.00
_cell_angle_beta 109.78
_cell_angle_gamma 90.00
loop_
_atom_site_label
_atom_site_type_symbol
_atom_site_fract_x
_atom_site_fract_y
_atom_site_fract_z
Li1 Li 0.000 0.000 0.000
Li2 Li 0.500 0.500 0.000
Np1 Np 0.000 0.500 0.500
Cd1 Cd 0.500 0.000 0.500
S1 S 0.240 0.000 0.757
S2 S 0.247 0.500 0.252
# * formation energy without anion corrections: -1.11 eV/atom

=====

# 8
# PBE Li2NpCdSe4, relaxed
data_Li2NpCdSe4
_chemical_formula_sum 'Li2 Np1 Cd1 Se4'
_symmetry_space_group_name_H-M 'P 1 2/m 1'
_symmetry_Int_Tables_number 10
_symmetry_space_group_name_Hall '-P 2y'
_cell_length_a 6.880
_cell_length_b 4.064
_cell_length_c 6.927
_cell_angle_alpha 90.00
_cell_angle_beta 109.96
_cell_angle_gamma 90.00
loop_
_atom_site_label
_atom_site_type_symbol
_atom_site_fract_x
_atom_site_fract_y
_atom_site_fract_z
Li1 Li 0.000 0.000 0.000
Li2 Li 0.500 0.500 0.000
Np1 Np 0.000 0.500 0.500
Cd1 Cd 0.500 0.000 0.500
Se1 Se 0.242 0.000 0.760
Se2 Se 0.250 0.500 0.252
# * formation energy without anion corrections: -0.99 eV/atom

=====

# 9
# PBE LiCdO, relaxed
data_LiCdO
_chemical_formula_sum 'Li2 Cd2 O2'
_symmetry_space_group_name_H-M 'I 4 m m'
_symmetry_Int_Tables_number 107
_symmetry_space_group_name_Hall 'I 4 -2'
_cell_length_a 2.830
_cell_length_b 2.830
_cell_length_c 10.311
_cell_angle_alpha 90.00
_cell_angle_beta 90.00
_cell_angle_gamma 90.00
loop_
_atom_site_label
_atom_site_type_symbol
_atom_site_fract_x
_atom_site_fract_y
_atom_site_fract_z
Li1 Li 0.000 0.000 0.000
Cd1 Cd 0.000 0.000 0.236
O1 O 0.000 0.000 0.590
# * formation energy without anion corrections: -0.79 eV/atom

=====

# 10
# PBE LiCd3O3, relaxed
data_LiCd3O3
_chemical_formula_sum 'Li1 Cd3 O3'
_symmetry_space_group_name_H-M 'P m -3 m'
_symmetry_Int_Tables_number 221
_symmetry_space_group_name_Hall '-P 4 2 3'
_cell_length_a 4.610
_cell_length_b 4.610
_cell_length_c 4.610
_cell_angle_alpha 90.00
_cell_angle_beta 90.00
_cell_angle_gamma 90.00
loop_
_atom_site_label
_atom_site_type_symbol
_atom_site_fract_x
_atom_site_fract_y
_atom_site_fract_z
Li1 Li 0.000 0.000 0.000
Cd1 Cd 0.000 0.500 0.500
O1 O 0.000 0.000 0.500
# * formation energy without anion corrections: -0.94 eV/atom

=====

# 11
# PBE Li3CdO2, relaxed
data_Li3CdO2
_chemical_formula_sum 'Li12 Cd4 O8'
_symmetry_space_group_name_H-M 'I b a m'
_symmetry_Int_Tables_number 72
_symmetry_space_group_name_Hall '-I 2 2c'
_cell_length_a 5.297
_cell_length_b 10.127
_cell_length_c 5.480
_cell_angle_alpha 90.00
_cell_angle_beta 90.00
_cell_angle_gamma 90.00
loop_
_atom_site_label
_atom_site_type_symbol
_atom_site_fract_x
_atom_site_fract_y
_atom_site_fract_z
Li1 Li 0.000 0.000 0.250
Li2 Li 0.000 0.241 0.250
Cd1 Cd 0.000 0.500 0.000
O1 O 0.167 0.142 0.000
# * formation energy without anion corrections: -1.25 eV/atom

=====

# 12
# PBE Li2Cd3O4, relaxed
data_Li2Cd3O4
_chemical_formula_sum 'Li4 Cd6 O8'
_symmetry_space_group_name_H-M 'C 1 2/m 1'
_symmetry_Int_Tables_number 12
_symmetry_space_group_name_Hall '-C 2y'
_cell_length_a 11.113
_cell_length_b 3.290
_cell_length_c 8.102
_cell_angle_alpha 90.00
_cell_angle_beta 127.58
_cell_angle_gamma 90.00
loop_
_atom_site_label
_atom_site_type_symbol
_atom_site_fract_x
_atom_site_fract_y
_atom_site_fract_z
Li1 Li 0.147 0.000 0.374
Cd1 Cd 0.000 0.500 0.000
Cd2 Cd 0.178 0.500 0.781
O1 O 0.076 0.000 0.862
O2 O 0.237 0.500 0.324
# * formation energy without anion corrections: -1.27 eV/atom

=====

# 13
# PBE Li4Cd3O4, relaxed
data_Li4Cd3O4
_chemical_formula_sum 'Li8 Cd6 O8'
_symmetry_space_group_name_H-M 'I m m m'
_symmetry_Int_Tables_number 71
_symmetry_space_group_name_Hall '-I 2 2'
_cell_length_a 3.289
_cell_length_b 7.470
_cell_length_c 11.605
_cell_angle_alpha 90.00
_cell_angle_beta 90.00
_cell_angle_gamma 90.00
loop_
_atom_site_label
_atom_site_type_symbol
_atom_site_fract_x
_atom_site_fract_y
_atom_site_fract_z
Li1 Li 0.000 0.166 0.163
Cd1 Cd 0.000 0.000 0.387
Cd2 Cd 0.000 0.500 0.500
O1 O 0.000 0.208 0.000
O2 O 0.000 0.500 0.272
# * formation energy without anion corrections: -1.04 eV/atom

=====

# 14
# PBE Li6CdO4, relaxed
data_Li6CdO4
_chemical_formula_sum 'Li12 Cd2 O8'
_symmetry_space_group_name_H-M 'P 42/n m c'
_symmetry_Int_Tables_number 137
_cell_length_a 6.849
_cell_length_b 6.849
_cell_length_c 4.802
_cell_angle_alpha 90.00
_cell_angle_beta 90.00
_cell_angle_gamma 90.00
loop_
_symmetry_equiv_pos_as_xyz
'x,y,z'
'-x,-y,-z'
'-y+1/2,x,z+1/2'
'y+1/2,-x,-z+1/2'
'-x+1/2,-y+1/2,z'
'x+1/2,y+1/2,-z'
'y,-x+1/2,z+1/2'
'-y,x+1/2,-z+1/2'
'x+1/2,-y,-z'
'-x+1/2,y,z'
'-y,-x,-z+1/2'
'y,x,z+1/2'
'-x,y+1/2,-z'
'x,-y+1/2,z'
'y+1/2,x+1/2,-z+1/2'
'-y+1/2,-x+1/2,z+1/2'
loop_
_atom_site_label
_atom_site_type_symbol
_atom_site_fract_x
_atom_site_fract_y
_atom_site_fract_z
Li1 Li 0.035 0.535 0.250
Li2 Li 0.250 0.250 0.238
Cd1 Cd 0.250 0.750 0.750
O1 O 0.024 0.250 0.492
# * formation energy without anion corrections: -1.67 eV/atom

=====

# 15
# PBE LiCd5O6, relaxed
data_LiCd5O6
_chemical_formula_sum 'Li2 Cd10 O12'
_symmetry_space_group_name_H-M 'C 1 2/m 1'
_symmetry_Int_Tables_number 12
_symmetry_space_group_name_Hall '-C 2y'
_cell_length_a 5.762
_cell_length_b 9.991
_cell_length_c 5.761
_cell_angle_alpha 90.00
_cell_angle_beta 109.38
_cell_angle_gamma 90.00
loop_
_atom_site_label
_atom_site_type_symbol
_atom_site_fract_x
_atom_site_fract_y
_atom_site_fract_z
Li1 Li 0.000 0.000 0.000
Cd1 Cd 0.000 0.164 0.500
Cd2 Cd 0.000 0.333 0.000
Cd3 Cd 0.000 0.500 0.500
O1 O 0.249 0.000 0.754
O2 O 0.250 0.166 0.249
# * formation energy without anion corrections: -1.03 eV/atom

=====

# 16
# PBE LiCdO, relaxed
data_LiCdO
_chemical_formula_sum 'Li1 Cd1 O1'
_symmetry_space_group_name_H-M 'P 3 m 1'
_symmetry_Int_Tables_number 156
_symmetry_space_group_name_Hall 'P 3 -2"'
_cell_length_a 3.1629
_cell_length_b 3.1629
_cell_length_c 5.3413
_cell_angle_alpha 90.00
_cell_angle_beta 90.00
_cell_angle_gamma 120.00
loop_
_atom_site_label
_atom_site_type_symbol
_atom_site_fract_x
_atom_site_fract_y
_atom_site_fract_z
Li1 Li 0.0000 0.0000 0.0000
Cd1 Cd 0.3333 0.6667 0.5834
O1 O 0.6667 0.3333 0.8613
# * formation energy without anion corrections: -1.05 eV/atom

=====

# 17
# PBE LiCdO, relaxed
data_LiCdO
_chemical_formula_sum 'Li4 Cd4 O4'
_symmetry_space_group_name_H-M 'F -4 3 m'
_symmetry_Int_Tables_number 216
_symmetry_space_group_name_Hall 'F -4 2 3'
_cell_length_a 5.585
_cell_length_b 5.585
_cell_length_c 5.585
_cell_angle_alpha 90.00
_cell_angle_beta 90.00
_cell_angle_gamma 90.00
loop_
_atom_site_label
_atom_site_type_symbol
_atom_site_fract_x
_atom_site_fract_y
_atom_site_fract_z
Li1 Li 0.000 0.000 0.000
Cd1 Cd 0.000 0.000 0.500
O1 O 0.250 0.250 0.250
# * formation energy without anion corrections: -0.79 eV/atom

=====

# 18
# PBE LiCd5O4, relaxed
data_LiCd5O4
_chemical_formula_sum 'Li2 Cd10 O8'
_symmetry_space_group_name_H-M 'P m m n'
_symmetry_Int_Tables_number 59
_cell_length_a 7.370
_cell_length_b 7.619
_cell_length_c 5.762
_cell_angle_alpha 90.00
_cell_angle_beta 90.00
_cell_angle_gamma 90.00
loop_
_symmetry_equiv_pos_as_xyz
'x,y,z'
'-x,-y,-z'
'-x+1/2,-y+1/2,z'
'x+1/2,y+1/2,-z'
'x+1/2,-y,-z'
'-x+1/2,y,z'
'-x,y+1/2,-z'
'x,-y+1/2,z'
loop_
_atom_site_label
_atom_site_type_symbol
_atom_site_fract_x
_atom_site_fract_y
_atom_site_fract_z
Li1 Li 0.250 0.250 0.182
Cd1 Cd 0.014 0.561 0.260
Cd2 Cd 0.250 0.750 0.803
O1 O 0.017 0.250 0.382
O2 O 0.250 0.018 0.991
# * formation energy without anion corrections: -0.77 eV/atom

=====

# 19
# PBE Li6Cd2O, relaxed
data_Li6Cd2O
_chemical_formula_sum 'Li12 Cd4 O2'
_symmetry_space_group_name_H-M 'C 1 2/m 1'
_symmetry_Int_Tables_number 12
_symmetry_space_group_name_Hall '-C 2y'
_cell_length_a 10.325
_cell_length_b 5.930
_cell_length_c 5.931
_cell_angle_alpha 90.00
_cell_angle_beta 124.99
_cell_angle_gamma 90.00
loop_
_atom_site_label
_atom_site_type_symbol
_atom_site_fract_x
_atom_site_fract_y
_atom_site_fract_z
Li1 Li 0.000 0.227 0.227
Li2 Li 0.225 0.000 0.225
Cd1 Cd 0.250 0.000 0.749
O1 O 0.000 0.000 0.000
# * formation energy without anion corrections: -0.68 eV/atom

=====

# 20
# PBE LiCd2O, relaxed
data_LiCd2O
_chemical_formula_sum 'Li4 Cd8 O4'
_symmetry_space_group_name_H-M 'I -4 2 d'
_symmetry_Int_Tables_number 122
_symmetry_space_group_name_Hall 'I -4 2bw'
_cell_length_a 8.726
_cell_length_b 8.726
_cell_length_c 3.738
_cell_angle_alpha 90.00
_cell_angle_beta 90.00
_cell_angle_gamma 90.00
loop_
_atom_site_label
_atom_site_type_symbol
_atom_site_fract_x
_atom_site_fract_y
_atom_site_fract_z
Li1 Li 0.000 0.000 0.000
Cd1 Cd 0.125 0.250 0.625
O1 O 0.000 0.000 0.500
# * formation energy without anion corrections: -0.64 eV/atom